The following is a DFT calculation (PBE) of an optimized crystal structure of Er2Al2InPd5.

a = 9.927 Å, b = 9.927 Å, c = 3.720 Å
α = 90.00°, β = 90.00°, γ = 90.00°
Sites, in units of the cell vectors:
1 Er 0.179 0.321 0.000
2 Er 0.321 0.821 0.000
3 Er 0.679 0.179 0.000
4 Er 0.821 0.679 0.000
5 Al 0.118 0.618 0.000
6 Al 0.382 0.118 0.000
7 Al 0.618 0.882 0.000
8 Al 0.882 0.382 0.000
9 In 0.000 0.000 0.000
10 In 0.500 0.500 0.000
11 Pd 0.000 0.500 0.500
12 Pd 0.066 0.787 0.500
13 Pd 0.213 0.066 0.500
14 Pd 0.287 0.566 0.500
15 Pd 0.434 0.287 0.500
16 Pd 0.500 0.000 0.500
17 Pd 0.566 0.713 0.500
18 Pd 0.713 0.434 0.500
19 Pd 0.787 0.934 0.500
20 Pd 0.934 0.213 0.500

Values from the calculation:
The total energy comes out at -5.31 eV/atom. Its space-group type is P4/mbm, No. 127. The energy of formation is -75 kJ per mole of atoms.

The following is a DFT calculation (PBE) of an optimized crystal structure of K3Na2Pb4.

a = 5.522 Å, b = 7.009 Å, c = 10.455 Å
α = 103.06°, β = 90.25°, γ = 113.09°
Sites, in units of the cell vectors:
1 K 0.000 0.000 0.000
2 K 0.380 0.756 0.619
3 K 0.620 0.244 0.381
4 Na 0.314 0.637 0.238
5 Na 0.686 0.363 0.762
6 Pb 0.085 0.161 0.635
7 Pb 0.273 0.539 0.918
8 Pb 0.727 0.461 0.082
9 Pb 0.915 0.839 0.365

Values from the calculation:
The total energy comes out at -2.41 eV/atom. Its space-group type is P-1, No. 2. The energy of formation is -10 kJ per mole of atoms.

The following is a DFT calculation (PBE) of an optimized crystal structure of K2TaTl3Se6.

a = 8.081 Å, b = 8.081 Å, c = 7.271 Å
α = 99.82°, β = 99.82°, γ = 122.20°
Sites, in units of the cell vectors:
1 K 0.175 0.825 0.000
2 K 0.825 0.175 0.000
3 Ta 0.500 0.500 0.000
4 Tl 0.000 0.000 0.500
5 Tl 0.362 0.638 0.500
6 Tl 0.638 0.362 0.500
7 Se 0.164 0.426 0.778
8 Se 0.283 0.283 0.205
9 Se 0.426 0.164 0.778
10 Se 0.574 0.836 0.222
11 Se 0.717 0.717 0.795
12 Se 0.836 0.574 0.222

Values from the calculation:
The total energy comes out at -4.17 eV/atom. Its space-group type is C2/m, No. 12. As for the uncorrected formation energy: -0.66 eV per atom.

The following is a DFT calculation (PBE) of an optimized crystal structure of PuMgOsO6.

a = 5.238 Å, b = 5.238 Å, c = 9.280 Å
α = 90.00°, β = 90.00°, γ = 120.00°
Sites, in units of the cell vectors:
1 Pu 0.333 0.667 0.250
2 Pu 0.667 0.333 0.750
3 Mg 0.000 0.000 0.000
4 Mg 0.000 0.000 0.500
5 Os 0.333 0.667 0.750
6 Os 0.667 0.333 0.250
7 O 0.025 0.350 0.630
8 O 0.025 0.675 0.870
9 O 0.325 0.350 0.870
10 O 0.325 0.975 0.630
11 O 0.350 0.025 0.130
12 O 0.350 0.325 0.370
13 O 0.650 0.675 0.630
14 O 0.650 0.975 0.870
15 O 0.675 0.025 0.370
16 O 0.675 0.650 0.130
17 O 0.975 0.325 0.130
18 O 0.975 0.650 0.370

Values from the calculation:
The total energy comes out at -8.31 eV/atom. Its space-group type is P-31c, No. 163. As for the uncorrected formation energy: -1.99 eV per atom.